# PrSnNO

Crystalline PrSnNO at its relaxed geometry (GGA-PBE, OQMD via LeMat-Bulk).

Output
Crystal system: orthorhombic
Space group: No. 26

a b c (Å): 4.245 5.171 5.959
angles (deg): 90.00 90.00 90.00
Fractional coordinates of all 8 atoms:
Sn 0.000 0.195 0.982
N 0.000 0.468 0.713
N 0.000 0.532 0.213
O 0.500 0.188 0.081
Pr 0.500 0.698 0.971
Sn 0.000 0.805 0.482
Pr 0.500 0.302 0.471
O 0.500 0.812 0.581

# PrSnNO

Crystalline PrSnNO at its relaxed geometry (GGA-PBE, OQMD via LeMat-Bulk).

Output
Crystal system: orthorhombic
Space group: No. 26

a b c (Å): 3.543 6.226 6.255
angles (deg): 90.00 90.00 90.00
Fractional coordinates of all 8 atoms:
O 0.500 0.264 0.399
N 0.000 0.908 0.256
Sn 0.500 0.540 0.880
Sn 0.500 0.040 0.120
Pr 0.000 0.042 0.623
O 0.500 0.764 0.601
N 0.000 0.408 0.744
Pr 0.000 0.542 0.377

Looking at size of the total moment for the records above, in order, we have 0.001 0.000 Bohr magnetons per cell.
Looking at ΔE to the lowest computed polymorph for the records above, in order, we have 30.3 17.7 kJ/mol of atoms.